## Ac2AsPd6Pt (PBE)

Data for Ac2AsPd6Pt after structural relaxation.

Output
Calculated formation energy (kcal/mol of atoms): -16.73
Space-group type: C2/m (12)
Crystal system: monoclinic

abc: 6.6307 6.6307 8.8254
angles: 128.20 128.20 48.50
Element x y z (fractional)
1 Ac 0.2280 0.2280 0.1977
2 Ac 0.7720 0.7720 0.8023
3 As 0.0000 0.0000 0.5000
4 Pd 0.2482 0.7381 0.2604
5 Pd 0.2508 0.2508 0.5951
6 Pd 0.2619 0.7518 0.7396
7 Pd 0.7381 0.2482 0.2604
8 Pd 0.7492 0.7492 0.4049
9 Pd 0.7518 0.2619 0.7396
10 Pt 0.5000 0.5000 0.0000

## Ac4As3Pd12Pt (PBE)

Data for Ac4As3Pd12Pt after structural relaxation.

Output
Calculated formation energy (kcal/mol of atoms): -12.27
Space-group type: Im-3m (229)
Crystal system: cubic

abc: 8.4018 8.4018 8.4018
angles: 109.47 109.47 109.47
Element x y z (fractional)
1 Ac 0.0000 0.0000 0.5000
2 Ac 0.0000 0.5000 0.0000
3 Ac 0.5000 0.0000 0.0000
4 Ac 0.5000 0.5000 0.5000
5 As 0.0000 0.5000 0.5000
6 As 0.5000 0.0000 0.5000
7 As 0.5000 0.5000 0.0000
8 Pd 0.0000 0.2612 0.2612
9 Pd 0.0000 0.7388 0.7388
10 Pd 0.2500 0.5000 0.7500
11 Pd 0.2500 0.7500 0.5000
12 Pd 0.2612 0.0000 0.2612
13 Pd 0.2612 0.2612 0.0000
14 Pd 0.5000 0.2500 0.7500
15 Pd 0.5000 0.7500 0.2500
16 Pd 0.7388 0.0000 0.7388
17 Pd 0.7388 0.7388 0.0000
18 Pd 0.7500 0.2500 0.5000
19 Pd 0.7500 0.5000 0.2500
20 Pt 0.0000 0.0000 0.0000

## Ac2AsPd4Pt2 (PBE)

Data for Ac2AsPd4Pt2 after structural relaxation.

Output
Calculated formation energy (kcal/mol of atoms): -18.76
Space-group type: I4/mmm (139)
Crystal system: tetragonal

abc: 6.4453 6.4453 6.4453
angles: 121.05 121.05 88.20
Element x y z (fractional)
1 Ac 0.2500 0.7500 0.5000
2 Ac 0.7500 0.2500 0.5000
3 As 0.0000 0.0000 0.0000
4 Pd 0.2777 0.2777 0.5554
5 Pd 0.2777 0.7223 0.0000
6 Pd 0.7223 0.2777 0.0000
7 Pd 0.7223 0.7223 0.4446
8 Pt 0.2730 0.2730 0.0000
9 Pt 0.7270 0.7270 0.0000

## Ac2AsPdPt6 (PBE)

Data for Ac2AsPdPt6 after structural relaxation.

Output
Calculated formation energy (kcal/mol of atoms): -18.31
Space-group type: C2/m (12)
Crystal system: monoclinic

abc: 6.6548 6.6548 8.7148
angles: 127.35 127.35 48.95
Element x y z (fractional)
1 Ac 0.2294 0.2294 0.1916
2 Ac 0.7706 0.7706 0.8084
3 As 0.0000 0.0000 0.5000
4 Pd 0.5000 0.5000 0.0000
5 Pt 0.2513 0.2513 0.6051
6 Pt 0.2521 0.7391 0.7295
7 Pt 0.2609 0.7479 0.2705
8 Pt 0.7391 0.2521 0.7295
9 Pt 0.7479 0.2609 0.2705
10 Pt 0.7487 0.7487 0.3949

## Ac2As4Pd3Pt (PBE)

Data for Ac2As4Pd3Pt after structural relaxation.

Output
Calculated formation energy (kcal/mol of atoms): -21.26
Space-group type: P-4m2 (115)
Crystal system: tetragonal

abc: 4.5651 4.5651 10.0240
angles: 90.00 90.00 90.00
Element x y z (fractional)
1 Ac 0.0000 0.5000 0.2490
2 Ac 0.5000 0.0000 0.7510
3 As 0.0000 0.0000 0.5000
4 As 0.0000 0.5000 0.8711
5 As 0.5000 0.0000 0.1289
6 As 0.5000 0.5000 0.5000
7 Pd 0.0000 0.0000 0.0000
8 Pd 0.0000 0.5000 0.6173
9 Pd 0.5000 0.0000 0.3827
10 Pt 0.5000 0.5000 0.0000

## Ac2PuAs4Pd3 (PBE)

Data for Ac2PuAs4Pd3 after structural relaxation.

Output
Calculated formation energy (kcal/mol of atoms): -20.58
Space-group type: P-4m2 (115)
Crystal system: tetragonal

abc: 4.5712 4.5712 10.9056
angles: 90.00 90.00 90.00
Element x y z (fractional)
1 Ac 0.0000 0.5000 0.2251
2 Ac 0.5000 0.0000 0.7749
3 Pu 0.0000 0.0000 0.5000
4 As 0.0000 0.0000 0.0000
5 As 0.0000 0.5000 0.6562
6 As 0.5000 0.0000 0.3438
7 As 0.5000 0.5000 0.0000
8 Pd 0.0000 0.5000 0.8926
9 Pd 0.5000 0.0000 0.1074
10 Pd 0.5000 0.5000 0.5000

## AcPu2As2Pd2 (PBE)

Data for AcPu2As2Pd2 after structural relaxation.

Output
Calculated formation energy (kcal/mol of atoms): -18.78
Space-group type: R-3m (166)
Crystal system: trigonal

abc: 9.0796 9.0796 9.0796
angles: 29.23 29.23 29.23
Element x y z (fractional)
1 Ac 0.0000 0.0000 0.0000
2 Pu 0.1430 0.1430 0.1430
3 Pu 0.8570 0.8570 0.8570
4 As 0.2595 0.2595 0.2595
5 As 0.7405 0.7405 0.7405
6 Pd 0.4312 0.4312 0.4312
7 Pd 0.5688 0.5688 0.5688

## RbAcAs2Pd2 (PBE)

Data for RbAcAs2Pd2 after structural relaxation.

Output
Calculated formation energy (kcal/mol of atoms): -18.49
Space-group type: P-3m1 (164)
Crystal system: trigonal

abc: 4.3528 4.3528 9.8548
angles: 90.00 90.00 120.00
Element x y z (fractional)
1 Rb 0.0000 0.0000 0.0000
2 Ac 0.0000 0.0000 0.5000
3 As 0.3333 0.6667 0.7185
4 As 0.6667 0.3333 0.2815
5 Pd 0.3333 0.6667 0.2733
6 Pd 0.6667 0.3333 0.7267

## RbAcAs2Pd4 (PBE)

Data for RbAcAs2Pd4 after structural relaxation.

Output
Calculated formation energy (kcal/mol of atoms): -12.39
Space-group type: P4/mmm (123)
Crystal system: tetragonal

abc: 4.2560 4.2560 11.2395
angles: 90.00 90.00 90.00
Element x y z (fractional)
1 Rb 0.0000 0.0000 0.0000
2 Ac 0.0000 0.0000 0.5000
3 As 0.5000 0.5000 0.1892
4 As 0.5000 0.5000 0.8108
5 Pd 0.0000 0.5000 0.2998
6 Pd 0.0000 0.5000 0.7002
7 Pd 0.5000 0.0000 0.2998
8 Pd 0.5000 0.0000 0.7002

## AcAs2PdRh2 (PBE)

Data for AcAs2PdRh2 after structural relaxation.

Output
Calculated formation energy (kcal/mol of atoms): -5.09
Space-group type: P4/mmm (123)
Crystal system: tetragonal

abc: 4.7550 4.7550 5.6785
angles: 90.00 90.00 90.00
Element x y z (fractional)
1 Ac 0.0000 0.0000 0.0000
2 As 0.0000 0.5000 0.5000
3 As 0.5000 0.0000 0.5000
4 Pd 0.0000 0.0000 0.5000
5 Rh 0.5000 0.5000 0.2467
6 Rh 0.5000 0.5000 0.7533

## AcAs2PdRh (PBE)

Data for AcAs2PdRh after structural relaxation.

Output
Calculated formation energy (kcal/mol of atoms): -19.53
Space-group type: I-4m2 (119)
Crystal system: tetragonal

abc: 6.0668 6.0668 6.0668
angles: 137.08 137.08 62.31
Element x y z (fractional)
1 Ac 0.0000 0.0000 0.0000
2 As 0.3714 0.3714 0.0000
3 As 0.6286 0.6286 0.0000
4 Pd 0.2500 0.7500 0.5000
5 Rh 0.7500 0.2500 0.5000

## AcAs2PdRh5 (PBE)

Data for AcAs2PdRh5 after structural relaxation.

Output
Calculated formation energy (kcal/mol of atoms): -6.64
Space-group type: P4/mmm (123)
Crystal system: tetragonal

abc: 4.0965 4.0965 10.6433
angles: 90.00 90.00 90.00
Element x y z (fractional)
1 Ac 0.0000 0.0000 0.0000
2 As 0.5000 0.5000 0.2259
3 As 0.5000 0.5000 0.7741
4 Pd 0.0000 0.0000 0.5000
5 Rh 0.0000 0.5000 0.3431
6 Rh 0.0000 0.5000 0.6569
7 Rh 0.5000 0.0000 0.3431
8 Rh 0.5000 0.0000 0.6569
9 Rh 0.5000 0.5000 0.0000

## Ac2As4Pd3Rh (PBE)

Data for Ac2As4Pd3Rh after structural relaxation.

Output
Calculated formation energy (kcal/mol of atoms): -20.96
Space-group type: P-4m2 (115)
Crystal system: tetragonal

abc: 4.5412 4.5412 9.9903
angles: 90.00 90.00 90.00
Element x y z (fractional)
1 Ac 0.0000 0.5000 0.2494
2 Ac 0.5000 0.0000 0.7506
3 As 0.0000 0.0000 0.5000
4 As 0.0000 0.5000 0.8744
5 As 0.5000 0.0000 0.1256
6 As 0.5000 0.5000 0.5000
7 Pd 0.0000 0.0000 0.0000
8 Pd 0.0000 0.5000 0.6193
9 Pd 0.5000 0.0000 0.3807
10 Rh 0.5000 0.5000 0.0000

## Ac2As4PdRh3 (PBE)

Data for Ac2As4PdRh3 after structural relaxation.

Output
Calculated formation energy (kcal/mol of atoms): -21.52
Space-group type: P-4m2 (115)
Crystal system: tetragonal

abc: 4.4709 4.4709 10.0001
angles: 90.00 90.00 90.00
Element x y z (fractional)
1 Ac 0.0000 0.5000 0.2485
2 Ac 0.5000 0.0000 0.7515
3 As 0.0000 0.0000 0.0000
4 As 0.0000 0.5000 0.6348
5 As 0.5000 0.0000 0.3652
6 As 0.5000 0.5000 0.0000
7 Pd 0.0000 0.0000 0.5000
8 Rh 0.0000 0.5000 0.8856
9 Rh 0.5000 0.0000 0.1144
10 Rh 0.5000 0.5000 0.5000

## Ac2Sb3AsPd4 (PBE)

Data for Ac2Sb3AsPd4 after structural relaxation.

Output
Space-group type: P-4m2 (115)
Crystal system: tetragonal
ΔE_f (raw) (eV/f.u.): -9.0

abc: 4.7308 4.7308 10.4308
angles: 90.00 90.00 90.00
Element x y z (fractional)
1 Ac 0.0000 0.5000 0.2498
2 Ac 0.5000 0.0000 0.7502
3 Sb 0.0000 0.0000 0.0000
4 Sb 0.0000 0.5000 0.6295
5 Sb 0.5000 0.0000 0.3705
6 As 0.5000 0.5000 0.0000
7 Pd 0.0000 0.0000 0.5000
8 Pd 0.0000 0.5000 0.8850
9 Pd 0.5000 0.0000 0.1150
10 Pd 0.5000 0.5000 0.5000

## AcSb2As2Pd7 (PBE)

Data for AcSb2As2Pd7 after structural relaxation.

Output
Space-group type: C2/m (12)
Crystal system: monoclinic
ΔE_f (raw) (eV/f.u.): -5.1

abc: 4.8646 4.8646 11.4245
angles: 101.33 101.33 92.68
Element x y z (fractional)
1 Ac 0.0000 0.0000 0.0000
2 Sb 0.2067 0.2067 0.3451
3 Sb 0.7933 0.7933 0.6549
4 As 0.2739 0.2739 0.7799
5 As 0.7261 0.7261 0.2201
6 Pd 0.2063 0.6112 0.2048
7 Pd 0.3691 0.3691 0.5805
8 Pd 0.3888 0.7937 0.7952
9 Pd 0.5000 0.5000 0.0000
10 Pd 0.6112 0.2063 0.2048
11 Pd 0.6309 0.6309 0.4195
12 Pd 0.7937 0.3888 0.7952

## AcSbAs2Pd5 (PBE)

Data for AcSbAs2Pd5 after structural relaxation.

Output
Space-group type: P4/mmm (123)
Crystal system: tetragonal
ΔE_f (raw) (eV/f.u.): -4.7

abc: 4.3505 4.3505 10.4501
angles: 90.00 90.00 90.00
Element x y z (fractional)
1 Ac 0.0000 0.0000 0.0000
2 Sb 0.0000 0.0000 0.5000
3 As 0.5000 0.5000 0.2280
4 As 0.5000 0.5000 0.7720
5 Pd 0.0000 0.5000 0.3450
6 Pd 0.0000 0.5000 0.6550
7 Pd 0.5000 0.0000 0.3450
8 Pd 0.5000 0.0000 0.6550
9 Pd 0.5000 0.5000 0.0000

## AcSbAsPd (PBE)

Data for AcSbAsPd after structural relaxation.

Output
Space-group type: F-43m (216)
Crystal system: cubic
ΔE_f (raw) (eV/f.u.): -2.1

abc: 5.1911 5.1911 5.1911
angles: 60.00 60.00 60.00
Element x y z (fractional)
1 Ac 0.0000 0.0000 0.0000
2 Sb 0.5000 0.5000 0.5000
3 As 0.7500 0.7500 0.7500
4 Pd 0.2500 0.2500 0.2500

## Ac3SbAs2Pd9 (PBE)

Data for Ac3SbAs2Pd9 after structural relaxation.

Output
Space-group type: P-3m1 (164)
Crystal system: trigonal
ΔE_f (raw) (eV/f.u.): -9.9

abc: 6.9679 6.9679 8.2825
angles: 90.00 90.00 120.00
Element x y z (fractional)
1 Ac 0.0000 0.0000 0.0000
2 Ac 0.3333 0.6667 0.6931
3 Ac 0.6667 0.3333 0.3069
4 Sb 0.0000 0.0000 0.5000
5 As 0.3333 0.6667 0.1585
6 As 0.6667 0.3333 0.8415
7 Pd 0.0000 0.5000 0.0000
8 Pd 0.1946 0.3892 0.3750
9 Pd 0.1946 0.8054 0.3750
10 Pd 0.3892 0.1946 0.6250
11 Pd 0.5000 0.0000 0.0000
12 Pd 0.5000 0.5000 0.0000
13 Pd 0.6108 0.8054 0.3750
14 Pd 0.8054 0.1946 0.6250
15 Pd 0.8054 0.6108 0.6250

## Ac2ScAs4Pd3 (PBE)

Data for Ac2ScAs4Pd3 after structural relaxation.

Output
Calculated formation energy (kcal/mol of atoms): -23.42
Space-group type: P-4m2 (115)
Crystal system: tetragonal

abc: 4.5186 4.5186 10.6716
angles: 90.00 90.00 90.00
Element x y z (fractional)
1 Ac 0.0000 0.5000 0.2271
2 Ac 0.5000 0.0000 0.7729
3 Sc 0.0000 0.0000 0.5000
4 As 0.0000 0.0000 0.0000
5 As 0.0000 0.5000 0.6403
6 As 0.5000 0.0000 0.3597
7 As 0.5000 0.5000 0.0000
8 Pd 0.0000 0.5000 0.8825
9 Pd 0.5000 0.0000 0.1175
10 Pd 0.5000 0.5000 0.5000

no.,DOS at the Fermi energy (states/eV/atom),calculated total energy (eV per atom)
1,0.39,-5.7321
2,0.30,-5.4691
3,0.26,-5.8933
4,0.34,-6.2246
5,0.40,-5.7655
6,1.67,-6.5650
7,1.61,-8.3083
8,0.97,-4.9284
9,0.44,-4.9308
10,0.69,-5.7713
11,0.72,-6.0372
12,0.61,-6.4387
13,0.41,-5.8835
14,0.69,-6.3393
15,0.34,-5.5049
16,0.38,-5.2569
17,0.61,-5.3586
18,0.82,-5.0414
19,0.30,-5.4921
20,0.33,-5.8880